(1)
5
Lattice="-2.016 3.085 -1.789 -4.446 -1.752 1.989 0.580 2.311 3.332" Properties=species:S:1:pos:R:3 comment="PBE-GGA KTaN2Cl, optimized geometry" space_group="P4/mmm (123)" pbc="T T T"
Cl -2.223 -0.876 0.994
N -1.008 1.543 -0.894
K -2.941 1.822 1.766
N 0.290 1.156 1.666
Ta 0.000 0.000 0.000



(2)
5
Lattice="5.064 0.000 0.000 0.000 5.064 0.000 0.000 0.000 7.099" Properties=species:S:1:pos:R:3 comment="PBE-GGA KTeN2Cl, optimized geometry" e_above_lowest_polymorph_mev_per_atom=194.0 space_group="P4/mmm (123)" pbc="T T T"
Cl 2.532 2.532 3.549
N 0.000 2.532 0.000
Te 0.000 0.000 3.549
K 0.000 0.000 0.000
N 2.532 0.000 0.000



(3)
5
Lattice="-3.867 -2.598 -1.395 2.865 -2.769 -2.787 0.787 -3.440 4.227" Properties=species:S:1:pos:R:3 comment="PBE-GGA KTeN2Cl, optimized geometry" e_above_lowest_polymorph_mev_per_atom=0.0 space_group="P4/mmm (123)" pbc="T T T"
N 1.433 -1.384 -1.394
Te 0.393 -1.720 2.113
N -1.933 -1.299 -0.697
K -0.107 -4.403 0.023
Cl 0.000 0.000 0.000



(4)
92
Lattice="-9.823 0.852 0.583 -1.099 -13.935 1.839 1.308 2.351 18.599" Properties=species:S:1:pos:R:3 comment="PBE-GGA KZr6NCl15, optimized geometry" space_group="Pmma (51)" pbc="T T T"
Cl -9.592 -7.565 4.573
Cl -8.991 -0.586 3.739
Cl -5.098 -2.702 16.764
Cl -0.548 -7.117 13.375
Cl -9.315 -4.062 4.111
Cl -7.046 -6.258 2.410
Cl -7.734 -4.496 15.354
Zr -0.935 -0.217 10.162
Cl -0.623 -10.146 17.282
Cl 0.375 -2.359 9.766
Zr -3.059 -6.722 13.675
Cl -2.779 -1.871 11.160
Cl -3.986 -4.031 7.359
Cl -9.815 -11.027 5.117
Cl -2.845 -7.974 18.963
Cl -6.547 -5.361 9.509
K -2.228 -9.740 6.135
Zr -9.254 -11.549 2.685
Cl -2.295 -1.001 18.043
Cl -7.430 -10.124 13.079
Zr -0.608 -5.114 14.931
Cl -0.820 -10.400 1.372
Cl -5.629 -6.702 13.662
Cl -0.299 -6.670 16.911
Cl -9.067 -3.615 7.647
Cl -0.023 -3.167 16.448
Cl -2.594 1.624 10.760
K -1.674 -2.720 5.209
Cl -0.271 -3.614 12.912
Zr -7.832 0.232 9.441
Cl -3.410 -11.705 3.502
Cl -6.770 -2.758 2.058
Zr -6.780 -4.414 4.151
Cl -0.279 -3.535 0.466
Zr -4.557 -6.004 5.827
Cl -7.320 -9.731 2.978
Zr -2.807 -3.527 13.254
K -7.387 -0.992 14.886
K -7.940 -8.012 15.813
N 0.654 1.176 9.300
N -6.777 -5.811 5.958
Zr -0.297 0.983 7.273
Zr -8.219 2.220 11.909
Zr -1.782 -10.964 11.580
Cl -6.398 0.722 1.647
Cl -0.036 -0.130 12.546
Cl -6.613 0.239 11.711
Zr -5.058 -4.728 15.195
Cl -5.922 1.578 8.422
Zr -8.680 -10.515 10.859
Cl -2.569 -4.474 18.611
Cl -4.237 -4.482 3.790
Cl -9.579 -10.602 8.475
N -2.837 -4.921 15.063
Cl -6.432 -2.273 5.487
Cl -9.343 -7.118 8.109
Zr -6.556 -4.011 7.346
Cl -2.184 -0.608 7.943
Cl -6.836 -8.861 9.862
Cl -3.329 -8.845 12.080
Cl -1.447 0.742 4.755
Cl -3.068 -5.371 11.513
Cl -5.349 -3.153 13.194
Cl -5.378 -6.250 17.232
Cl -2.593 -1.342 2.134
Zr -2.834 -6.318 16.870
Cl -6.204 0.973 17.520
Cl -6.286 -1.888 8.942
Cl -4.516 -8.030 4.258
Zr -1.208 -9.931 19.754
Zr -9.006 -5.618 6.091
Cl -4.265 -7.579 7.827
Zr -6.808 -7.205 7.768
Cl -8.755 -0.161 7.098
Zr -8.407 -0.801 1.267
Cl -7.022 -9.390 18.887
Zr -0.360 0.817 18.336
Cl -7.069 2.461 14.427
Cl -2.117 2.481 17.535
Cl -0.166 -9.224 10.672
Zr -2.582 -3.123 16.449
Zr -7.032 -7.609 4.573
Cl -0.859 -10.571 13.924
N 0.000 0.000 0.000
Cl -3.183 -8.459 15.535
Cl -3.002 -10.971 9.310
Cl 0.200 0.295 15.904
Zr -7.856 2.871 17.061
Cl -6.991 -9.361 6.422
Cl -1.881 -6.236 5.668
Zr -0.659 0.332 2.122
Cl -2.623 -1.371 14.599



(5)
6
Lattice="-6.990 4.489 4.998 -7.789 -1.649 5.533 9.191 -1.434 -2.734" Properties=species:S:1:pos:R:3 comment="PBE-GGA K2NaCl3, optimized geometry" e_above_lowest_polymorph_mev_per_atom=13.6 space_group="I4/mmm (139)" pbc="T T T"
K -9.842 1.892 7.013
Cl -7.390 1.420 5.265
Cl -2.334 0.449 1.663
Cl -12.446 2.392 8.868
K -4.937 0.949 3.518
Na 0.000 0.000 0.000



(6)
6
Lattice="-4.277 2.112 -0.134 -3.980 -2.528 -0.734 -6.587 -2.050 12.597" Properties=species:S:1:pos:R:3 comment="PBE-GGA KNaCl, optimized geometry" e_above_lowest_polymorph_mev_per_atom=15.5 space_group="Cm (8)" pbc="T T T"
Na -6.191 -1.606 9.361
Cl -5.907 -1.229 6.579
Na -8.644 -1.387 6.450
Cl -8.926 -1.765 9.235
K -5.603 -0.786 3.311
K -2.635 -0.157 -0.089



(7)
5
Lattice="5.336 0.000 0.000 0.000 5.336 0.000 0.000 0.000 5.336" Properties=species:S:1:pos:R:3 comment="PBE-GGA KNaCl3, optimized geometry" e_above_lowest_polymorph_mev_per_atom=0.0 space_group="Pm-3m (221)" pbc="T T T"
Cl 0.000 0.000 2.668
Na 0.000 0.000 0.000
Cl 0.000 2.668 0.000
Cl 2.668 0.000 0.000
K 2.668 2.668 2.668



(8)
4
Lattice="-1.957 3.879 6.044 -2.378 -0.224 7.050 1.456 1.597 7.122" Properties=species:S:1:pos:R:3 comment="PBE-GGA KNaCl2, optimized geometry" space_group="R-3m (166)" pbc="T T T"
Cl -0.746 1.360 5.235
Na 0.000 0.000 0.000
K -1.440 2.626 10.108
Cl -2.134 3.892 14.981



(9)
4
Lattice="-1.214 -2.289 -3.271 -2.894 -2.967 0.488 -6.587 3.097 -2.386" Properties=species:S:1:pos:R:3 comment="PBE-GGA KNaCl2, optimized geometry" space_group="R3m (160)" pbc="T T T"
Cl -5.431 2.023 -2.063
Na -9.300 -0.430 -4.234
Cl -2.526 -0.677 -1.251
K -5.371 -1.057 -2.591



(10)
7
Lattice="-1.999 3.923 -2.971 -2.204 -3.581 -3.245 -4.470 -0.154 7.551" Properties=species:S:1:pos:R:3 comment="PBE-GGA K2NaCl4, optimized geometry" space_group="I4/mmm (139)" pbc="T T T"
K -4.871 0.013 3.294
Cl -1.102 -1.790 -1.623
K -3.801 0.176 -1.959
Cl -2.316 0.006 1.566
Cl -0.999 1.961 -1.485
Cl -6.357 0.182 -0.231
Na 0.000 0.000 0.000



(11)
5
Lattice="-3.251 -4.323 -2.273 -0.736 -2.266 5.362 -4.829 3.257 0.713" Properties=species:S:1:pos:R:3 comment="PBE-GGA KNaCl3, optimized geometry" e_above_lowest_polymorph_mev_per_atom=272.7 space_group="Pm-3m (221)" pbc="T T T"
Cl -2.414 1.628 0.357
Cl -1.626 -2.162 -1.136
K 0.000 0.000 0.000
Na -4.408 -1.666 1.901
Cl -0.368 -1.133 2.681



(12)
4
Lattice="-6.839 0.531 5.499 -3.959 4.077 6.708 -6.882 4.558 3.027" Properties=species:S:1:pos:R:3 comment="PBE-GGA KNaCl2, optimized geometry" space_group="R-3m (166)" pbc="T T T"
Na 0.000 0.000 0.000
K -8.840 4.583 7.617
Cl -1.759 0.912 1.515
Cl -15.921 8.253 13.719



Magnetization across the listed records, respectively: 0.138; 1.270; 0.963; 0.000; 0.000; 0.000; 0.200; 0.000; 0.000; 0.164; 0.200; 0.000 μB/atom.
Formation energy (no corrections) across the listed records, respectively: -0.540; 1.955; 1.761; -1.811; -1.877; -1.131; -1.255; -1.863; -1.840; -1.457; -0.982; -1.664 eV/atom.